DFT (PBEsol) results for a relaxed structure of MgIn3.

Summary:
Calculated formation energy, eV/atom: -0.038

```
data_MgIn3
_cell_length_a 3.3379
_cell_length_b 3.3379
_cell_length_c 30.1907
_cell_angle_alpha 90.00
_cell_angle_beta 90.00
_cell_angle_gamma 120.00
_symmetry_space_group_name_H-M 'R -3 m'
_symmetry_Int_Tables_number 166
_symmetry_space_group_name_Hall '-R 3 2"'
loop_
_atom_site_label
_atom_site_fract_x
_atom_site_fract_y
_atom_site_fract_z
Mg1 0.0000 0.0000 0.0000
In1 0.0000 0.0000 0.2525
In2 0.0000 0.0000 0.5000
```



DFT (PBEsol) results for a relaxed structure of La2SbPd2.

Summary:
Energy relative to the elements, uncorrected, meV/atom: -972

```
data_La2SbPd2
_cell_length_a 7.587
_cell_length_b 7.587
_cell_length_c 4.110
_cell_angle_alpha 90.00
_cell_angle_beta 90.00
_cell_angle_gamma 90.00
_symmetry_space_group_name_H-M 'P 4/m b m'
_symmetry_Int_Tables_number 127
_symmetry_space_group_name_Hall '-P 4 2ab'
loop_
_atom_site_label
_atom_site_fract_x
_atom_site_fract_y
_atom_site_fract_z
La1 0.181 0.319 0.000
Sb1 0.000 0.000 0.500
Pd1 0.127 0.627 0.500
```



DFT (PBEsol) results for a relaxed structure of Ba2Ir3O9.

Summary:
Energy relative to the elements, uncorrected, meV/atom: -1433

```
data_Ba2Ir3O9
_cell_length_a 9.446
_cell_length_b 9.446
_cell_length_c 9.446
_cell_angle_alpha 90.00
_cell_angle_beta 90.00
_cell_angle_gamma 90.00
_symmetry_space_group_name_H-M 'I 2 3'
_symmetry_Int_Tables_number 197
_symmetry_space_group_name_Hall 'I 2 2 3'
loop_
_atom_site_label
_atom_site_fract_x
_atom_site_fract_y
_atom_site_fract_z
Ba1 0.190 0.190 0.810
Ir1 0.000 0.156 0.500
O1 0.000 0.000 0.358
O2 0.015 0.294 0.344
```



| no. | volume (Å³/atom) | density of states at the Fermi level (states/eV/atom) | E_tot (eV/atom) |
| --- | --- | --- | --- |
| 1 | 24.28 | 0.451 | -2.70 |
| 2 | 23.66 | 0.661 | -6.41 |
| 3 | 15.05 | 0.567 | -7.22 |